(1)
# TiPbSCl2

A relaxed structure of TiPbSCl2 (PBE-GGA, Alexandria).

## Properties
Excess energy over the best structure of this formula in the dataset, kJ/mol of atoms: 78.6

Structure (CIF):
```
data_TiPbSCl2
_chemical_formula_sum 'Ti1 Pb1 S1 Cl2'
_space_group_name_H-M_alt 'P 4/m m m'
_space_group_IT_number 123
_space_group_name_Hall '-P 4 2'
_cell_length_a 5.4255
_cell_length_b 5.4255
_cell_length_c 5.4069
_cell_angle_alpha 90.00
_cell_angle_beta 90.00
_cell_angle_gamma 90.00
loop_
_atom_site_label
_atom_site_fract_x
_atom_site_fract_y
_atom_site_fract_z
_atom_site_occupancy
Ti1 0.0000 0.0000 0.0000 1
Pb1 0.5000 0.5000 0.5000 1
S1 0.5000 0.5000 0.0000 1
Cl1 0.0000 0.5000 0.5000 1
```

(2)
# TlPbSCl

A relaxed structure of TlPbSCl (PBE-GGA, Alexandria).

Structure (CIF):
```
data_TlPbSCl
_chemical_formula_sum 'Tl1 Pb1 S1 Cl1'
_space_group_name_H-M_alt 'P 3 m 1'
_space_group_IT_number 156
_cell_length_a 4.2107
_cell_length_b 4.2107
_cell_length_c 7.9596
_cell_angle_alpha 90.00
_cell_angle_beta 90.00
_cell_angle_gamma 120.00
loop_
_space_group_symop_operation_xyz
'x,y,z'
'-y,x-y,z'
'-x+y,-x,z'
'-y,-x,z'
'-x+y,y,z'
'x,x-y,z'
loop_
_atom_site_label
_atom_site_fract_x
_atom_site_fract_y
_atom_site_fract_z
_atom_site_occupancy
Tl1 0.0000 0.0000 0.0000 1
Pb1 0.0000 0.0000 0.4666 1
S1 0.3333 0.6667 0.2771 1
Cl1 0.6667 0.3333 0.7292 1
```

(3)
# UPbS3Cl

A relaxed structure of UPbS3Cl (PBE-GGA, Alexandria).

Structure (CIF):
```
data_UPbS3Cl
_chemical_formula_sum 'U4 Pb4 S12 Cl4'
_space_group_name_H-M_alt 'C 1 2/c 1'
_space_group_IT_number 15
_cell_length_a 7.4837
_cell_length_b 19.8107
_cell_length_c 6.1603
_cell_angle_alpha 90.00
_cell_angle_beta 126.96
_cell_angle_gamma 90.00
loop_
_space_group_symop_operation_xyz
'x,y,z'
'-x,-y,-z'
'-x,y,-z+1/2'
'x,-y,z+1/2'
'x+1/2,y+1/2,z'
'-x+1/2,-y+1/2,-z'
'-x+1/2,y+1/2,-z+1/2'
'x+1/2,-y+1/2,z+1/2'
loop_
_atom_site_label
_atom_site_fract_x
_atom_site_fract_y
_atom_site_fract_z
_atom_site_occupancy
U1 0.0000 0.0649 0.2500 1
Pb1 0.0000 0.3492 0.7500 1
S1 0.0000 0.1867 0.2500 1
S2 0.2212 0.0450 0.0613 1
Cl1 0.0000 0.3889 0.2500 1
```

no.,uncorrected formation energy (eV/atom)
1,0.06
2,-0.72
3,-0.80